# SrNiH3 | the Alexandria database | PBE | relaxed
data_SrNiH3
_space_group_name_H-M_alt 'C 1 2/m 1'
_space_group_IT_number 12
_cell_length_a 12.979
_cell_length_b 3.635
_cell_length_c 5.128
_cell_angle_alpha 90.00
_cell_angle_beta 109.23
_cell_angle_gamma 90.00
loop_
_space_group_symop_operation_xyz
'x,y,z'
'-x,-y,-z'
'-x,y,-z'
'x,-y,z'
'x+1/2,y+1/2,z'
'-x+1/2,-y+1/2,-z'
'-x+1/2,y+1/2,-z'
'x+1/2,-y+1/2,z'
loop_
_atom_site_label
_atom_site_type_symbol
_atom_site_fract_x
_atom_site_fract_y
_atom_site_fract_z
Sr1 Sr 0.107 0.000 0.316
Ni1 Ni 0.178 0.500 0.878
H1 H 0.053 0.500 0.855
H2 H 0.192 0.000 0.915
H3 H 0.194 0.500 0.583
# * final energy: -3.821 eV per atom